VASP calculation (GGA+U) on a geometry-optimized CoAgHgF5 structure.

Summary:
Calculated total energy, eV/cell: -60.0
Total magnetization, Bohr magnetons per cell: 6.02

Lattice parameters (Å, degrees): 5.8327 5.8327 7.6488 86.41 86.41 117.38
Last column: nearest neighbours and their distance in Å.
Fractional positions:
F  0.9092  0.0908  0.2500  2 Co 2.12
F  0.0908  0.9092  0.7500  2 Co 2.12
F  0.9946  0.3228  0.8843  1 Co 2.04, 1 Hg 2.20
F  0.3911  0.2068  0.0082  1 Co 2.04, 1 Ag 2.22
F  0.0054  0.6772  0.1157  1 Co 2.04, 1 Hg 2.20
F  0.2068  0.3911  0.5082  1 Co 2.04, 1 Ag 2.22
F  0.6089  0.7932  0.9918  1 Co 2.04, 1 Ag 2.22
F  0.7932  0.6089  0.4918  1 Co 2.04, 1 Ag 2.22
F  0.3228  0.9946  0.3843  1 Co 2.04, 1 Hg 2.20
F  0.6772  0.0054  0.6157  1 Co 2.04, 1 Hg 2.20
Ag  0.3721  0.6279  0.2500  2 F 2.22
Ag  0.6279  0.3721  0.7500  2 F 2.22
Co  0.0000  0.0000  0.5000  6 F 2.04-2.12
Co  0.0000  0.0000  0.0000  6 F 2.04-2.12
Hg  0.6652  0.3348  0.2500  5 F 2.20-2.45
Hg  0.3348  0.6652  0.7500  5 F 2.20-2.45